(1)
A relaxed structure of Ba6Ag2HgRh. Source: Alexandria via LeMat-Bulk, functional PBE-GGA. Values from VASP.

Crystal system ... monoclinic
Formation energy from the elements ... -0.2486 eV/atom
Density ... 5136 kg/m³
VASP energy ... -2.738 eV per atom
SG ... P2_1/c (14)

```
&SYSTEM
  ibrav = 0, nat = 20, ntyp = 4
/
ATOMIC_SPECIES
Ba 137.33 Ba.upf
Ag 107.87 Ag.upf
Hg 200.59 Hg.upf
Rh 102.91 Rh.upf
CELL_PARAMETERS angstrom
8.1468 0.0000 0.0000
0.0000 8.9735 0.0000
-7.2993 0.0000 11.8802
ATOMIC_POSITIONS crystal
Ba 0.0801 0.0536 0.2378
Ba 0.0801 0.4464 0.7378
Ba 0.2261 0.6980 0.0750
Ba 0.2261 0.8020 0.5750
Ba 0.3725 0.1644 0.0625
Ba 0.3725 0.3356 0.5625
Ba 0.6275 0.6644 0.4375
Ba 0.6275 0.8356 0.9375
Ba 0.7739 0.1980 0.4250
Ba 0.7739 0.3020 0.9250
Ba 0.9199 0.5536 0.2622
Ba 0.9199 0.9464 0.7622
Ag 0.3159 0.1126 0.7643
Ag 0.3159 0.3874 0.2643
Ag 0.6841 0.6126 0.7357
Ag 0.6841 0.8874 0.2357
Hg 0.5000 0.0000 0.5000
Hg 0.5000 0.5000 0.0000
Rh 0.0000 0.0000 0.0000
Rh 0.0000 0.5000 0.5000
```

---

(2)
A relaxed structure of Pr6PdRu2Cl3. Source: Alexandria via LeMat-Bulk, functional PBE-GGA. Values from VASP.

E_form (uncorrected) ... -988.7 meV per atom
Crystal system ... monoclinic
Density ... 6192 kg/m³
VASP energy ... -5.819 eV per atom
SG ... C2/m (12)

```
&SYSTEM
  ibrav = 0, nat = 12, ntyp = 4
/
ATOMIC_SPECIES
Pr 140.91 Pr.upf
Pd 106.42 Pd.upf
Ru 101.07 Ru.upf
Cl 35.45 Cl.upf
CELL_PARAMETERS angstrom
3.5589 -6.1687 0.0000
3.5589 6.1687 0.0000
-2.3653 0.0000 7.6978
ATOMIC_POSITIONS crystal
Pr 0.0830 0.4309 0.7923
Pr 0.2206 0.2206 0.2075
Pr 0.4309 0.0830 0.7923
Pr 0.5691 0.9170 0.2077
Pr 0.7794 0.7794 0.7925
Pr 0.9170 0.5691 0.2077
Pd 0.5000 0.5000 0.0000
Ru 0.1663 0.8337 0.0000
Ru 0.8337 0.1663 0.0000
Cl 0.0000 0.0000 0.5000
Cl 0.3277 0.6723 0.5000
Cl 0.6723 0.3277 0.5000
```

---

(3)
A relaxed structure of LiZn14Tc. Source: Alexandria via LeMat-Bulk, functional PBE-GGA. Values from VASP.

Crystal system ... tetragonal
Formation energy from the elements ... -0.0465 eV/atom
Density ... 7257 kg/m³
VASP energy ... -1.929 eV per atom
SG ... P4/mmm (123)

```
&SYSTEM
  ibrav = 0, nat = 16, ntyp = 3
/
ATOMIC_SPECIES
Li 6.94 Li.upf
Zn 65.41 Zn.upf
Tc 98.00 Tc.upf
CELL_PARAMETERS angstrom
5.4083 0.0000 0.0000
0.0000 5.4083 0.0000
0.0000 0.0000 7.9848
ATOMIC_POSITIONS crystal
Li 0.0000 0.0000 0.0000
Zn 0.0000 0.0000 0.5000
Zn 0.0000 0.5000 0.0000
Zn 0.0000 0.5000 0.5000
Zn 0.2533 0.2533 0.2509
Zn 0.2533 0.2533 0.7491
Zn 0.2533 0.7467 0.2509
Zn 0.2533 0.7467 0.7491
Zn 0.5000 0.0000 0.0000
Zn 0.5000 0.0000 0.5000
Zn 0.5000 0.5000 0.5000
Zn 0.7467 0.2533 0.2509
Zn 0.7467 0.2533 0.7491
Zn 0.7467 0.7467 0.2509
Zn 0.7467 0.7467 0.7491
Tc 0.5000 0.5000 0.0000
```